[1]
AcMg2OsO8 | PBE | relaxed

Calculated values
- Fermi-level density of states (states/eV/f.u.) = 1.8
- ΔE_f (raw) (eV per atom) = -1.8580
- total magnetic moment (Bohr magnetons per cell) = 0.0

abc: 4.5696 6.9626 4.7820
angles: 90.00 90.50 90.00
Closest atoms and distances in Å follow each position.
Atoms (fractional coordinates):
Ac: 0.0000 0.0000 0.0000  6 O 2.50-2.54
Mg: 0.5000 0.2687 0.5000  6 O 2.05-2.18
Mg: 0.5000 0.7313 0.5000  6 O 2.05-2.18
Os: 0.0000 0.5000 0.0000  6 O 1.87-1.88
O: 0.2342 0.3055 0.1578  1 Os 1.88, 1 Mg 2.05
O: 0.2342 0.6945 0.1578  1 Os 1.88, 1 Mg 2.05
O: 0.2459 0.5000 0.6882  1 Os 1.87
O: 0.2712 0.0000 0.5385  1 O 2.13, 2 Mg 2.15
O: 0.7288 0.0000 0.4615  1 O 2.13, 2 Mg 2.15
O: 0.7541 0.5000 0.3118  1 Os 1.87
O: 0.7658 0.3055 0.8422  1 Os 1.88, 1 Mg 2.05
O: 0.7658 0.6945 0.8422  1 Os 1.88, 1 Mg 2.05


[2]
Li8Zn5Cu | PBE | relaxed

Calculated values
- formation energy from the elements (meV per atom) = -24
- Fermi-level density of states (states/eV/f.u.) = 3.4
- total magnetic moment (Bohr magnetons per cell) = 0.0

abc: 6.6548 6.6548 6.6548
angles: 109.95 109.95 108.51
Closest atoms and distances in Å follow each position.
Atoms (fractional coordinates):
Li: 0.1137 0.7067 0.8095  1 Cu 2.43, 5 Zn 2.63-2.68
Li: 0.1608 0.2674 0.7767  5 Zn 2.66-2.91, 4 Li 2.67-2.98, 1 Cu 2.86
Li: 0.2933 0.1027 0.4070  1 Cu 2.43, 5 Zn 2.63-2.68
Li: 0.4907 0.3841 0.2233  5 Zn 2.66-2.91, 4 Li 2.67-2.98, 1 Cu 2.86
Li: 0.6159 0.8392 0.1066  5 Zn 2.66-2.91, 4 Li 2.67-2.98, 1 Cu 2.86
Li: 0.6957 0.8863 0.5930  1 Cu 2.43, 5 Zn 2.63-2.68
Li: 0.7326 0.5093 0.8934  5 Zn 2.66-2.91, 4 Li 2.67-2.98, 1 Cu 2.86
Li: 0.8973 0.3043 0.1905  1 Cu 2.43, 5 Zn 2.63-2.68
Zn: 0.2409 0.6539 0.2083  8 Li 2.63-2.91, 2 Zn 2.74
Zn: 0.3461 0.5543 0.5870  8 Li 2.63-2.91, 2 Zn 2.74
Zn: 0.4457 0.0327 0.7917  8 Li 2.63-2.91, 2 Zn 2.74
Zn: 0.7500 0.2500 0.5000  8 Li 2.64-2.66
Zn: 0.9673 0.7591 0.4130  8 Li 2.63-2.91, 2 Zn 2.74
Cu: 0.0000 0.0000 0.0000  4 Li 2.43


[3]
GaSn | PBE | relaxed

Calculated values
- formation energy from the elements (meV per atom) = 137
- Fermi-level density of states (states/eV/f.u.) = 0.5
- total magnetic moment (Bohr magnetons per cell) = 0.0

abc: 9.2471 9.2471 9.2471
angles: 91.62 91.62 160.66
Closest atoms and distances in Å follow each position.
Atoms (fractional coordinates):
Ga: 0.1047 0.2562 0.3608  4 Sn 2.75-2.92
Ga: 0.2562 0.8953 0.1515  4 Sn 2.75-2.92
Ga: 0.7438 0.1047 0.8485  4 Sn 2.75-2.92
Ga: 0.8953 0.7438 0.6392  4 Sn 2.75-2.92
Sn: 0.1093 0.7408 0.8501  4 Ga 2.75-2.92
Sn: 0.2592 0.1093 0.3685  4 Ga 2.75-2.92
Sn: 0.7408 0.8907 0.6315  4 Ga 2.75-2.92
Sn: 0.8907 0.2592 0.1499  4 Ga 2.75-2.92


Q: Among the records above, which one has the lowest Fermi-level density of states?
A: GaSn